Here is crystalline Ce5TlPt at its relaxed geometry from Alexandria via LeMat-Bulk. Energies are from GGA-PBE.

Unit cell a=6.3346 b=6.3346 c=11.3513 alpha=110.44 beta=110.44 gamma=64.85
Last column: nearest neighbours and their distance in Å.
Element x y z (fractional)
Ce 0.0001 0.4533 0.6571  1 Pt 2.80, 3 Ce 2.83-2.99
Ce 0.9999 0.5467 0.3429  1 Pt 2.80, 3 Ce 2.83-2.99
Ce 0.0745 0.9255 0.7500  2 Pt 2.88, 2 Ce 2.99
Ce 0.2038 0.4739 0.9239  2 Ce 2.83-2.92, 1 Pt 2.94
Ce 0.4533 0.0001 0.1571  1 Pt 2.80, 3 Ce 2.83-2.99
Ce 0.4739 0.2038 0.4239  2 Ce 2.83-2.92, 1 Pt 2.94
Ce 0.5261 0.7962 0.5761  2 Ce 2.83-2.92, 1 Pt 2.94
Ce 0.5467 0.9999 0.8429  1 Pt 2.80, 3 Ce 2.83-2.99
Ce 0.7962 0.5261 0.0761  2 Ce 2.83-2.92, 1 Pt 2.94
Ce 0.9255 0.0745 0.2500  2 Pt 2.88, 2 Ce 2.99
Tl 0.4261 0.5739 0.2500  10 Ce 3.31-3.42
Tl 0.5739 0.4261 0.7500  10 Ce 3.31-3.42
Pt 0.0000 0.0000 0.0000  6 Ce 2.80-2.94
Pt 0.0000 0.0000 0.5000  6 Ce 2.80-2.94

Calculated values
The formation energy comes out at -249 meV/atom. The value obtained for the magnetization is 5.50 μB/cell. The value obtained for the density is 9.73 g cm⁻³.

***

Here is crystalline Al4PbSe at its relaxed geometry from Alexandria via LeMat-Bulk. Energies are from GGA-PBE.

Unit cell a=5.6264 b=5.6264 c=5.6264 alpha=60.00 beta=60.00 gamma=60.00
Last column: nearest neighbours and their distance in Å.
Element x y z (fractional)
Al 0.1240 0.1240 0.1240  6 Al 2.79-2.84
Al 0.1240 0.1240 0.6280  6 Al 2.79-2.84
Al 0.1240 0.6280 0.1240  6 Al 2.79-2.84
Al 0.6280 0.1240 0.1240  6 Al 2.79-2.84
Pb 0.7500 0.7500 0.7500  12 Al 3.30, 4 Se 3.45
Se 0.5000 0.5000 0.5000  12 Al 3.30, 4 Pb 3.45

Calculated values
The value obtained for the magnetization is 0.00 μB/cell. The value obtained for the density is 5.20 g cm⁻³. The formation energy from raw total energies comes out at 183 meV per atom.

***

Here is crystalline Nd5GeSb4 at its relaxed geometry from Alexandria via LeMat-Bulk. Energies are from GGA-PBE.

Unit cell a=7.7568 b=7.7568 c=7.7568 alpha=99.62 beta=99.62 gamma=131.74
Last column: nearest neighbours and their distance in Å.
Element x y z (fractional)
Nd 0.0000 0.0000 0.0000  2 Ge 3.17, 4 Sb 3.17
Nd 0.2083 0.5987 0.8071  1 Ge 3.08, 5 Sb 3.17-3.21
Nd 0.4013 0.2083 0.6096  1 Ge 3.08, 5 Sb 3.17-3.21
Nd 0.5987 0.7917 0.3904  1 Ge 3.08, 5 Sb 3.17-3.21
Nd 0.7917 0.4013 0.1929  1 Ge 3.08, 5 Sb 3.17-3.21
Ge 0.5000 0.5000 0.0000  6 Nd 3.08-3.17
Sb 0.0962 0.3019 0.3981  6 Nd 3.17-3.21
Sb 0.3019 0.9038 0.2056  6 Nd 3.17-3.21
Sb 0.6981 0.0962 0.7944  6 Nd 3.17-3.21
Sb 0.9038 0.6981 0.6019  6 Nd 3.17-3.21

Calculated values
The value obtained for the magnetization is 0.00 μB/cell. The value obtained for the density is 6.69 g cm⁻³. The formation energy from raw total energies comes out at -1071 meV per atom.

***

Here is crystalline Sr2Mo at its relaxed geometry from Alexandria via LeMat-Bulk. Energies are from GGA-PBE.

Unit cell a=7.1619 b=7.1619 c=10.1794 alpha=90.00 beta=90.00 gamma=120.00
Last column: nearest neighbours and their distance in Å.
Element x y z (fractional)
Sr 0.0000 0.0000 0.0000  6 Sr 3.37
Sr 0.0000 0.0000 0.5000  6 Sr 3.37
Sr 0.1786 0.3571 0.2500  4 Sr 3.33-3.37
Sr 0.1786 0.8214 0.2500  4 Sr 3.33-3.37
Sr 0.3571 0.1786 0.7500  4 Sr 3.33-3.37
Sr 0.6429 0.8214 0.2500  4 Sr 3.33-3.37
Sr 0.8214 0.1786 0.7500  4 Sr 3.33-3.37
Sr 0.8214 0.6429 0.7500  4 Sr 3.33-3.37
Mo 0.3333 0.6667 0.5695  1 Mo 3.67, 9 Sr 3.78-4.03
Mo 0.3333 0.6667 0.9305  1 Mo 3.67, 9 Sr 3.78-4.03
Mo 0.6667 0.3333 0.0695  1 Mo 3.67, 9 Sr 3.78-4.03
Mo 0.6667 0.3333 0.4305  1 Mo 3.67, 9 Sr 3.78-4.03

Calculated values
The formation energy comes out at 1601 meV/atom. The value obtained for the magnetization is 18.06 μB/cell. The value obtained for the density is 3.98 g cm⁻³. As for the relative energy among the computed polymorphs: 3.346 eV per formula unit.

***

Here is crystalline NaZnN2O at its relaxed geometry from Alexandria via LeMat-Bulk. Energies are from GGA-PBE.

Unit cell a=4.2994 b=4.2994 c=4.1208 alpha=90.00 beta=90.00 gamma=90.00
Last column: nearest neighbours and their distance in Å.
Element x y z (fractional)
Na 0.0000 0.0000 0.0000  2 O 2.06, 4 N 2.15
Zn 0.5000 0.5000 0.5000  8 N 2.98, 4 O 3.04
N 0.0000 0.5000 0.0000  2 Na 2.15
N 0.5000 0.0000 0.0000  2 Na 2.15
O 0.0000 0.0000 0.5000  2 Na 2.06

Calculated values
The value obtained for the magnetization is 5.05 μB/cell. The value obtained for the density is 2.89 g cm⁻³. The formation energy from raw total energies comes out at 1911 meV per atom.

***

Here is crystalline Hf2MgPa at its relaxed geometry from Alexandria via LeMat-Bulk. Energies are from GGA-PBE.

Unit cell a=10.7664 b=10.7664 c=10.7664 alpha=16.96 beta=16.96 gamma=16.96
Last column: nearest neighbours and their distance in Å.
Element x y z (fractional)
Hf 0.0000 0.0000 0.0000  6 Hf 3.18, 3 Mg 3.21, 3 Pa 3.24
Hf 0.1676 0.1676 0.1676  6 Hf 3.18, 3 Mg 3.22, 3 Pa 3.23
Mg 0.5840 0.5840 0.5840  6 Mg 3.18, 6 Hf 3.21-3.22
Pa 0.7506 0.7506 0.7506  6 Pa 3.18, 6 Hf 3.23-3.24

Calculated values
The formation energy comes out at 55 meV/atom. The value obtained for the magnetization is 0.00 μB/cell. The value obtained for the density is 10.97 g cm⁻³. As for the relative energy among the computed polymorphs: 0.000 eV per formula unit.

***

Here is crystalline Ce2AuCl at its relaxed geometry from Alexandria via LeMat-Bulk. Energies are from GGA-PBE.

Unit cell a=7.0257 b=7.0257 c=7.0257 alpha=35.64 beta=35.64 gamma=35.64
Last column: nearest neighbours and their distance in Å.
Element x y z (fractional)
Ce 0.2452 0.2452 0.2452  3 Cl 2.93, 3 Au 3.03
Ce 0.7548 0.7548 0.7548  3 Cl 2.93, 3 Au 3.03
Au 0.0000 0.0000 0.0000  6 Ce 3.03
Cl 0.5000 0.5000 0.5000  6 Ce 2.93

Calculated values
The value obtained for the magnetization is 2.41 μB/cell. The value obtained for the density is 8.09 g cm⁻³. As for the relative energy among the computed polymorphs: 0.030 eV per formula unit. The formation energy from raw total energies comes out at -959 meV per atom.

***

Here is crystalline KBaBr3 at its relaxed geometry from Alexandria via LeMat-Bulk. Energies are from GGA-PBE.

Unit cell a=4.9376 b=8.0351 c=10.2349 alpha=90.00 beta=90.00 gamma=90.00
Last column: nearest neighbours and their distance in Å.
Element x y z (fractional)
K 0.2500 0.2500 0.1234  2 Br 3.20
K 0.7500 0.7500 0.8766  2 Br 3.20
Ba 0.2500 0.7500 0.3878  7 Br 3.20-3.34
Ba 0.7500 0.2500 0.6122  7 Br 3.20-3.34
Br 0.2500 0.5152 0.6575  3 Ba 3.29-3.34
Br 0.2500 0.7500 0.0755  1 Ba 3.20, 2 K 3.20
Br 0.2500 0.9848 0.6575  3 Ba 3.29-3.34
Br 0.7500 0.0152 0.3425  3 Ba 3.29-3.34
Br 0.7500 0.2500 0.9245  1 Ba 3.20, 2 K 3.20
Br 0.7500 0.4848 0.3425  3 Ba 3.29-3.34

Calculated values
The value obtained for the magnetization is 0.00 μB/cell. The value obtained for the density is 3.40 g cm⁻³. The formation energy from raw total energies comes out at -1986 meV per atom.

***

What did the third record say?
Here is crystalline Nd5GeSb4 at its relaxed geometry from Alexandria via LeMat-Bulk. Energies are from GGA-PBE.

Unit cell a=7.7568 b=7.7568 c=7.7568 alpha=99.62 beta=99.62 gamma=131.74
Last column: nearest neighbours and their distance in Å.
Element x y z (fractional)
Nd 0.0000 0.0000 0.0000  2 Ge 3.17, 4 Sb 3.17
Nd 0.2083 0.5987 0.8071  1 Ge 3.08, 5 Sb 3.17-3.21
Nd 0.4013 0.2083 0.6096  1 Ge 3.08, 5 Sb 3.17-3.21
Nd 0.5987 0.7917 0.3904  1 Ge 3.08, 5 Sb 3.17-3.21
Nd 0.7917 0.4013 0.1929  1 Ge 3.08, 5 Sb 3.17-3.21
Ge 0.5000 0.5000 0.0000  6 Nd 3.08-3.17
Sb 0.0962 0.3019 0.3981  6 Nd 3.17-3.21
Sb 0.3019 0.9038 0.2056  6 Nd 3.17-3.21
Sb 0.6981 0.0962 0.7944  6 Nd 3.17-3.21
Sb 0.9038 0.6981 0.6019  6 Nd 3.17-3.21

Calculated values
The value obtained for the magnetization is 0.00 μB/cell. The value obtained for the density is 6.69 g cm⁻³. The formation energy from raw total energies comes out at -1071 meV per atom.

***

- What is the magnetization in the second record?
  0.00 μB/cell

***

- Which value of magnetization does entry 3 give?
  0.00 μB/cell

***

- Which of these has the highest magnetization?
  Sr2Mo